# PrICl2

PrICl2 after structural relaxation (GGA-PBE, OQMD).

Unit cell a=7.4080 b=4.4293 c=7.9820 alpha=90.00 beta=114.97 gamma=90.00
Space group P2_1/m (No. 11)
Symmetry-distinct sites (fractional):
Pr 0.1747 0.2500 0.3429 [2 per cell]
I 0.2408 0.7500 0.0678 [2 per cell]
Cl 0.0920 0.2500 0.6754 [2 per cell]
Cl 0.3965 0.7500 0.5835 [2 per cell]

Properties
* calculated volume: 29.677 Å³ per atom
* DFT total energy: -36.0 eV per cell
* magnetization: 0.000 μB per atom



# MoBr3

MoBr3 after structural relaxation (GGA-PBE, OQMD).

Unit cell a=6.4480 b=6.4480 c=17.7510 alpha=90.00 beta=90.00 gamma=120.00
Space group R-3c (No. 167, hexagonal axes)
Symmetry-distinct sites (fractional):
Mo 0.0000 0.0000 0.0000 [6 per cell]
Br 0.0000 0.3306 0.2500 [18 per cell]

Properties
* calculated volume: 26.631 Å³ per atom
* DFT total energy: -104.1 eV per cell
* magnetization: 0.750 μB per atom



# ZrNb

ZrNb after structural relaxation (GGA-PBE, OQMD).

Unit cell a=4.8230 b=9.0038 c=5.6849 alpha=90.00 beta=90.00 gamma=90.00
Space group Pmc2_1 (No. 26)
Symmetry-distinct sites (fractional):
Zr 0.0000 0.1191 0.0000 [2 per cell]
Zr 0.0000 0.2208 0.4825 [2 per cell]
Zr 0.5000 0.2957 0.7776 [2 per cell]
Nb 0.0000 0.4606 0.9992 [2 per cell]
Nb 0.5000 0.0474 0.2907 [2 per cell]
Nb 0.5000 0.3803 0.2665 [2 per cell]

Properties
* calculated volume: 20.572 Å³ per atom
* DFT total energy: -110.1 eV per cell
* magnetization: 0.003 μB per atom



# BaHoPa

BaHoPa after structural relaxation (GGA-PBE, OQMD).

Unit cell a=7.5795 b=7.5795 c=7.5795 alpha=90.00 beta=90.00 gamma=90.00
Space group F-43m (No. 216)
Symmetry-distinct sites (fractional):
Ba 0.0000 0.0000 0.0000 [4 per cell]
Ho 0.2500 0.2500 0.7500 [4 per cell]
Pa 0.2500 0.2500 0.2500 [4 per cell]

Properties
* calculated volume: 36.286 Å³ per atom
* DFT total energy: -46.4 eV per cell
* magnetization: 0.725 μB per atom



# Zr2Sn

Zr2Sn after structural relaxation (GGA-PBE, OQMD).

Unit cell a=9.6559 b=5.2900 c=5.2952 alpha=90.00 beta=90.00 gamma=90.00
Space group Cmcm (No. 63)
Symmetry-distinct sites (fractional):
Zr 0.1626 0.2474 0.2500 [8 per cell]
Sn 0.0000 0.2535 0.7500 [4 per cell]

Properties
* calculated volume: 22.540 Å³ per atom
* DFT total energy: -89.4 eV per cell
* magnetization: 0.000 μB per atom



# PmMgPb

PmMgPb after structural relaxation (GGA-PBE, OQMD).

Unit cell a=7.3381 b=7.3381 c=7.3381 alpha=90.00 beta=90.00 gamma=90.00
Space group F-43m (No. 216)
Symmetry-distinct sites (fractional):
Pm 0.0000 0.0000 0.0000 [4 per cell]
Mg 0.2500 0.2500 0.7500 [4 per cell]
Pb 0.2500 0.2500 0.2500 [4 per cell]

Properties
* calculated volume: 32.929 Å³ per atom
* DFT total energy: -39.5 eV per cell
* magnetization: 0.000 μB per atom



# Mo

Mo after structural relaxation (GGA-PBE, OQMD).

Unit cell a=4.3436 b=9.8253 c=3.0726 alpha=90.00 beta=90.00 gamma=90.00
Space group Cmce (No. 64)
Symmetry-distinct sites (fractional):
Mo 0.0000 0.1328 0.0021 [8 per cell]

Properties
* calculated volume: 16.391 Å³ per atom
* DFT total energy: -82.4 eV per cell
* magnetization: 0.000 μB per atom



# Lu2HgSb

Lu2HgSb after structural relaxation (GGA-PBE, OQMD).

Unit cell a=7.5205 b=7.5205 c=7.5205 alpha=90.00 beta=90.00 gamma=90.00
Space group F-43m (No. 216)
Symmetry-distinct sites (fractional):
Lu 0.0000 0.0000 0.0000 [4 per cell]
Lu 0.2500 0.2500 0.2500 [4 per cell]
Hg 0.2500 0.2500 0.7500 [4 per cell]
Sb 0.0000 0.0000 0.5000 [4 per cell]

Properties
* calculated volume: 26.584 Å³ per atom
* DFT total energy: -54.4 eV per cell
* magnetization: 0.038 μB per atom



# TbHo2Sn3Ir2Pd

TbHo2Sn3Ir2Pd after structural relaxation (GGA-PBE, OQMD).

Unit cell a=3.8869 b=13.1202 c=7.5651 alpha=90.00 beta=90.00 gamma=90.00
Space group Amm2 (No. 38)
Symmetry-distinct sites (fractional):
Tb 0.0000 0.0000 0.0000 [2 per cell]
Ho 0.0000 0.2051 0.3853 [4 per cell]
Sn 0.5000 0.0000 0.3256 [2 per cell]
Sn 0.5000 0.1324 0.7223 [4 per cell]
Ir 0.5000 0.1675 0.0905 [4 per cell]
Pd 0.0000 0.0000 0.5888 [2 per cell]

Properties
* calculated volume: 21.433 Å³ per atom
* DFT total energy: -113.0 eV per cell
* magnetization: 0.000 μB per atom



# AcTmOs

AcTmOs after structural relaxation (GGA-PBE, OQMD).

Unit cell a=6.8860 b=6.8860 c=6.8860 alpha=90.00 beta=90.00 gamma=90.00
Space group F-43m (No. 216)
Symmetry-distinct sites (fractional):
Ac 0.0000 0.0000 0.0000 [4 per cell]
Tm 0.2500 0.2500 0.2500 [4 per cell]
Os 0.0000 0.0000 0.5000 [4 per cell]

Properties
* calculated volume: 27.210 Å³ per atom
* DFT total energy: -70.5 eV per cell
* magnetization: 0.000 μB per atom



# YLu2Bi

YLu2Bi after structural relaxation (GGA-PBE, OQMD).

Unit cell a=7.6700 b=7.6700 c=7.6700 alpha=90.00 beta=90.00 gamma=90.00
Space group F-43m (No. 216)
Symmetry-distinct sites (fractional):
Y 0.0000 0.0000 0.0000 [4 per cell]
Lu 0.0000 0.0000 0.5000 [4 per cell]
Lu 0.2500 0.2500 0.2500 [4 per cell]
Bi 0.2500 0.2500 0.7500 [4 per cell]

Properties
* calculated volume: 28.201 Å³ per atom
* DFT total energy: -80.0 eV per cell
* magnetization: 0.021 μB per atom



# Nd2YMg3Tl2Zn

Nd2YMg3Tl2Zn after structural relaxation (GGA-PBE, OQMD).

Unit cell a=4.6590 b=13.0471 c=7.6555 alpha=90.00 beta=90.00 gamma=90.00
Space group Amm2 (No. 38)
Symmetry-distinct sites (fractional):
Nd 0.0000 0.2052 0.0000 [4 per cell]
Y 0.0000 0.0000 0.6150 [2 per cell]
Mg 0.5000 0.0000 0.9733 [2 per cell]
Mg 0.5000 0.1176 0.3249 [4 per cell]
Tl 0.5000 0.1635 0.7050 [4 per cell]
Zn 0.0000 0.0000 0.2133 [2 per cell]

Properties
* calculated volume: 25.853 Å³ per atom
* DFT total energy: -59.4 eV per cell
* magnetization: 0.001 μB per atom



# Fe2As3P

Fe2As3P after structural relaxation (GGA-PBE, OQMD).

Unit cell a=5.2220 b=2.8450 c=5.8991 alpha=90.00 beta=90.71 gamma=90.00
Space group Pm (No. 6)
Symmetry-distinct sites (fractional):
Fe 0.0000 0.0000 0.0000 [1 per cell]
Fe 0.4808 0.5000 0.4837 [1 per cell]
As 0.3157 0.5000 0.8497 [1 per cell]
As 0.6744 0.5000 0.1295 [1 per cell]
As 0.8236 0.0000 0.6221 [1 per cell]
P 0.1754 0.0000 0.3506 [1 per cell]

Properties
* calculated volume: 14.606 Å³ per atom
* DFT total energy: -37.9 eV per cell
* magnetization: 0.000 μB per atom



# NdSmIBr2N

NdSmIBr2N after structural relaxation (GGA-PBE, OQMD).

Unit cell a=18.6297 b=4.0419 c=11.8067 alpha=90.00 beta=124.17 gamma=90.00
Space group C2/m (No. 12)
Symmetry-distinct sites (fractional):
Nd 0.0778 0.0000 0.4603 [4 per cell]
Sm 0.1348 0.5000 0.7870 [4 per cell]
I 0.0434 0.5000 0.2259 [4 per cell]
Br 0.1713 0.0000 0.0119 [4 per cell]
Br 0.2162 0.5000 0.6246 [4 per cell]
N 0.0734 0.0000 0.6559 [4 per cell]

Properties
* calculated volume: 30.648 Å³ per atom
* DFT total energy: -131.2 eV per cell
* magnetization: 0.000 μB per atom



# La2Mg4FePd

La2Mg4FePd after structural relaxation (GGA-PBE, OQMD).

Unit cell a=8.3272 b=4.2638 c=10.3444 alpha=90.00 beta=90.00 gamma=90.00
Space group Amm2 (No. 38)
Symmetry-distinct sites (fractional):
La 0.0000 0.0000 0.0000 [2 per cell]
La 0.5000 0.0000 0.1204 [2 per cell]
Mg 0.1999 0.0000 0.7142 [4 per cell]
Mg 0.3097 0.0000 0.4062 [4 per cell]
Fe 0.5000 0.0000 0.8344 [2 per cell]
Pd 0.0000 0.0000 0.2848 [2 per cell]

Properties
* calculated volume: 22.955 Å³ per atom
* DFT total energy: -62.3 eV per cell
* magnetization: 0.004 μB per atom



# AlGa2Mo2

AlGa2Mo2 after structural relaxation (GGA-PBE, OQMD).

Unit cell a=3.7226 b=3.7226 c=12.5043 alpha=90.00 beta=90.00 gamma=90.00
Space group I4/mmm (No. 139)
Symmetry-distinct sites (fractional):
Al 0.0000 0.0000 0.0000 [2 per cell]
Ga 0.0000 0.0000 0.4036 [4 per cell]
Mo 0.0000 0.5000 0.2500 [4 per cell]

Properties
* calculated volume: 17.328 Å³ per atom
* DFT total energy: -59.8 eV per cell
* magnetization: 0.000 μB per atom



# GdScNb

GdScNb after structural relaxation (GGA-PBE, OQMD).

Unit cell a=6.9373 b=6.9373 c=6.9373 alpha=90.00 beta=90.00 gamma=90.00
Space group F-43m (No. 216)
Symmetry-distinct sites (fractional):
Gd 0.0000 0.0000 0.0000 [4 per cell]
Sc 0.0000 0.0000 0.5000 [4 per cell]
Nb 0.2500 0.2500 0.2500 [4 per cell]

Properties
* calculated volume: 27.823 Å³ per atom
* DFT total energy: -74.3 eV per cell
* magnetization: 0.587 μB per atom



# Np2Br3Cl3

Np2Br3Cl3 after structural relaxation (GGA-PBE, OQMD).

Unit cell a=7.6315 b=7.6315 c=4.3442 alpha=90.00 beta=90.00 gamma=120.00
Space group P-6 (No. 174)
Symmetry-distinct sites (fractional):
Np 0.0000 0.0000 0.0000 [1 per cell]
Np 0.3333 0.6667 0.5000 [1 per cell]
Br 0.3008 0.0522 0.5000 [3 per cell]
Cl 0.0761 0.6564 0.0000 [3 per cell]

Properties
* calculated volume: 27.388 Å³ per atom
* DFT total energy: -48.5 eV per cell
* magnetization: 1.001 μB per atom



# Pr2Y2CBr4F

Pr2Y2CBr4F after structural relaxation (GGA-PBE, OQMD).

Unit cell a=17.9949 b=3.7869 c=7.6313 alpha=90.00 beta=100.92 gamma=90.00
Space group C2/m (No. 12)
Symmetry-distinct sites (fractional):
Pr 0.0038 0.0000 0.2652 [4 per cell]
Y 0.1367 0.5000 0.5739 [4 per cell]
C 0.0000 0.5000 0.5000 [2 per cell]
Br 0.1648 0.0000 0.8566 [4 per cell]
Br 0.1771 0.0000 0.3235 [4 per cell]
F 0.0000 0.5000 0.0000 [2 per cell]

Properties
* calculated volume: 25.531 Å³ per atom
* DFT total energy: -113.2 eV per cell
* magnetization: 0.004 μB per atom



# ScTaNiSb

ScTaNiSb after structural relaxation (GGA-PBE, OQMD).

Unit cell a=6.5761 b=6.5761 c=6.5761 alpha=90.00 beta=90.00 gamma=90.00
Space group F-43m (No. 216)
Symmetry-distinct sites (fractional):
Sc 0.0000 0.0000 0.0000 [4 per cell]
Ta 0.2500 0.2500 0.2500 [4 per cell]
Ni 0.2500 0.2500 0.7500 [4 per cell]
Sb 0.0000 0.0000 0.5000 [4 per cell]

Properties
* calculated volume: 17.774 Å³ per atom
* DFT total energy: -108.8 eV per cell
* magnetization: 0.288 μB per atom